Record 1
# Sc2Tl2Pd (PBE, relaxed)
# * formation energy from the elements: -0.3714 eV/atom
# * M_tot: 0.00 μB/f.u.
# * VASP energy: -4.889 eV/atom
data_Sc2Tl2Pd
_chemical_formula_sum 'Sc4 Tl4 Pd2'
_space_group_name_H-M_alt 'C m m m'
_space_group_IT_number 65
_space_group_name_Hall '-C 2 2'
_cell_length_a 3.2974
_cell_length_b 20.7943
_cell_length_c 3.3299
_cell_angle_alpha 90.00
_cell_angle_beta 90.00
_cell_angle_gamma 90.00
loop_
_atom_site_label
_atom_site_type_symbol
_atom_site_fract_x
_atom_site_fract_y
_atom_site_fract_z
_atom_site_occupancy
Sc1 Sc 0.0000 0.0792 0.0000 1
Tl1 Tl 0.0000 0.3166 0.5000 1
Pd1 Pd 0.0000 0.5000 0.5000 1

---

Record 2
# Sc7TlPd4 (PBE, relaxed)
# * formation energy from the elements: -0.4214 eV/atom
# * M_tot: 0.00 μB/f.u.
# * VASP energy: -6.043 eV/atom
data_Sc7TlPd4
_chemical_formula_sum 'Sc14 Tl2 Pd8'
_space_group_name_H-M_alt 'C 1 2/m 1'
_space_group_IT_number 12
_cell_length_a 13.0225
_cell_length_b 5.2973
_cell_length_c 9.0563
_cell_angle_alpha 90.00
_cell_angle_beta 125.18
_cell_angle_gamma 90.00
loop_
_space_group_symop_operation_xyz
'x,y,z'
'-x,-y,-z'
'-x,y,-z'
'x,-y,z'
'x+1/2,y+1/2,z'
'-x+1/2,-y+1/2,-z'
'-x+1/2,y+1/2,-z'
'x+1/2,-y+1/2,z'
loop_
_atom_site_label
_atom_site_type_symbol
_atom_site_fract_x
_atom_site_fract_y
_atom_site_fract_z
_atom_site_occupancy
Sc1 Sc 0.0000 0.0000 0.0000 1
Sc2 Sc 0.0643 0.5000 0.3806 1
Sc3 Sc 0.2015 0.0000 0.6486 1
Sc4 Sc 0.2147 0.5000 0.8844 1
Tl1 Tl 0.0000 0.5000 0.0000 1
Pd1 Pd 0.0615 0.0000 0.7630 1
Pd2 Pd 0.2030 0.0000 0.3458 1